1.
An optimized crystal structure of NaNiSb2. Source: the Alexandria database, functional PBE.

## Properties
ΔE to the lowest computed polymorph (meV/atom): 306
Space group: No. 122
Formation energy (no corrections) (kJ per mole of atoms): 4.2
V (Å³ per atom): 27.5

a = 9.0356 Å, b = 9.0356 Å, c = 9.0356 Å
α = 146.83°, β = 146.83°, γ = 47.61°
Sites, in units of the cell vectors:
Na (0.0000, 0.0000, 0.0000)
Na (0.7500, 0.2500, 0.5000)
Ni (0.2500, 0.7500, 0.5000)
Ni (0.5000, 0.5000, 0.0000)
Sb (0.2317, 0.6250, 0.1067)
Sb (0.3750, 0.4817, 0.6067)
Sb (0.5183, 0.1250, 0.8933)
Sb (0.8750, 0.7683, 0.3933)

2.
An optimized crystal structure of UAlFeOs. Source: the Alexandria database, functional PBE.

## Properties
Formation energy from the elements (eV per formula unit): -0.469
Space group: No. 216
V (Å³ per atom): 16.3

a = 4.5146 Å, b = 4.5146 Å, c = 4.5146 Å
α = 60.00°, β = 60.00°, γ = 60.00°
Sites, in units of the cell vectors:
U (0.0000, 0.0000, 0.0000)
Al (0.5000, 0.5000, 0.5000)
Fe (0.7500, 0.7500, 0.7500)
Os (0.2500, 0.2500, 0.2500)

3.
An optimized crystal structure of Cd4Si3. Source: the Alexandria database, functional PBE.

## Properties
ΔE to the lowest computed polymorph (meV/atom): 0
Space group: No. 139
Formation energy (no corrections) (kJ per mole of atoms): 28.8
V (Å³ per atom): 21.2

a = 14.5737 Å, b = 14.5737 Å, c = 14.5737 Å
α = 167.36°, β = 167.36°, γ = 17.91°
Sites, in units of the cell vectors:
Cd (0.0681, 0.0681, 0.0000)
Cd (0.3575, 0.3575, 0.0000)
Cd (0.6425, 0.6425, 0.0000)
Cd (0.9319, 0.9319, 0.0000)
Si (0.2670, 0.2670, 0.0000)
Si (0.5000, 0.5000, 0.0000)
Si (0.7330, 0.7330, 0.0000)

4.
An optimized crystal structure of Mg2CdAg. Source: the Alexandria database, functional PBE.

## Properties
ΔE to the lowest computed polymorph (meV/atom): 90
Formation energy from the elements (eV per formula unit): -0.342
Space group: No. 10
V (Å³ per atom): 20.4

a = 4.9131 Å, b = 3.3146 Å, c = 5.1694 Å
α = 90.00°, β = 104.05°, γ = 90.00°
Sites, in units of the cell vectors:
Mg (0.0000, 0.0000, 0.0000)
Mg (0.0000, 0.5000, 0.5000)
Cd (0.5000, 0.0000, 0.5000)
Ag (0.5000, 0.5000, 0.0000)

5.
An optimized crystal structure of Li2ZnMo. Source: the Alexandria database, functional PBE.

## Properties
Formation energy from the elements (eV per formula unit): 1.183
Space group: No. 47
V (Å³ per atom): 15.0

a = 2.5154 Å, b = 4.4281 Å, c = 5.3826 Å
α = 90.00°, β = 90.00°, γ = 90.00°
Sites, in units of the cell vectors:
Li (0.0000, 0.0000, 0.2484)
Li (0.0000, 0.0000, 0.7516)
Zn (0.5000, 0.5000, 0.5000)
Mo (0.5000, 0.5000, 0.0000)

6.
An optimized crystal structure of Co2SiCl. Source: the Alexandria database, functional PBE.

## Properties
ΔE to the lowest computed polymorph (meV/atom): 389
Space group: No. 160
Formation energy (no corrections) (kJ per mole of atoms): 25.2
V (Å³ per atom): 14.6

a = 7.5535 Å, b = 7.5535 Å, c = 7.5535 Å
α = 23.11°, β = 23.11°, γ = 23.11°
Sites, in units of the cell vectors:
Co (0.0000, 0.0000, 0.0000)
Co (0.2472, 0.2472, 0.2472)
Si (0.7300, 0.7300, 0.7300)
Cl (0.5079, 0.5079, 0.5079)

7.
An optimized crystal structure of PaCr2Ge. Source: the Alexandria database, functional PBE.

## Properties
ΔE to the lowest computed polymorph (meV/atom): 0
Formation energy from the elements (eV per formula unit): -0.008
Space group: No. 123
V (Å³ per atom): 15.9

a = 4.2738 Å, b = 4.2738 Å, c = 3.4853 Å
α = 90.00°, β = 90.00°, γ = 90.00°
Sites, in units of the cell vectors:
Pa (0.0000, 0.0000, 0.0000)
Cr (0.0000, 0.5000, 0.5000)
Cr (0.5000, 0.0000, 0.5000)
Ge (0.5000, 0.5000, 0.0000)

8.
An optimized crystal structure of Pu6ThRu5. Source: the Alexandria database, functional PBE.

## Properties
Formation energy from the elements (eV per formula unit): -0.676
Space group: No. 10
V (Å³ per atom): 20.5

a = 4.9877 Å, b = 7.0082 Å, c = 7.3210 Å
α = 90.00°, β = 105.59°, γ = 90.00°
Sites, in units of the cell vectors:
Pu (0.0000, 0.2294, 0.0000)
Pu (0.0000, 0.7706, 0.0000)
Pu (0.3282, 0.2400, 0.6371)
Pu (0.3282, 0.7600, 0.6371)
Pu (0.6718, 0.2400, 0.3629)
Pu (0.6718, 0.7600, 0.3629)
Th (0.5000, 0.5000, 0.0000)
Ru (0.1091, 0.5000, 0.3077)
Ru (0.1343, 0.0000, 0.3164)
Ru (0.5000, 0.0000, 0.0000)
Ru (0.8657, 0.0000, 0.6836)
Ru (0.8909, 0.5000, 0.6923)

9.
An optimized crystal structure of VCrSeN2. Source: the Alexandria database, functional PBE.

## Properties
ΔE to the lowest computed polymorph (meV/atom): 311
Space group: No. 123
Formation energy (no corrections) (kJ per mole of atoms): 57.5
V (Å³ per atom): 13.6

a = 3.6604 Å, b = 3.6604 Å, c = 5.0765 Å
α = 90.00°, β = 90.00°, γ = 90.00°
Sites, in units of the cell vectors:
V (0.0000, 0.0000, 0.0000)
Cr (0.5000, 0.5000, 0.5000)
Se (0.5000, 0.5000, 0.0000)
N (0.0000, 0.5000, 0.5000)
N (0.5000, 0.0000, 0.5000)

10.
An optimized crystal structure of AsRu2Pb. Source: the Alexandria database, functional PBE.

## Properties
ΔE to the lowest computed polymorph (meV/atom): 364
Formation energy from the elements (eV per formula unit): 2.236
Space group: No. 119
V (Å³ per atom): 17.4

a = 5.5143 Å, b = 5.5143 Å, c = 5.5143 Å
α = 139.60°, β = 139.60°, γ = 58.47°
Sites, in units of the cell vectors:
As (0.0000, 0.0000, 0.0000)
Ru (0.5000, 0.5000, 0.0000)
Ru (0.7500, 0.2500, 0.5000)
Pb (0.2500, 0.7500, 0.5000)

11.
An optimized crystal structure of Ag3SnS. Source: the Alexandria database, functional PBE.

## Properties
ΔE to the lowest computed polymorph (meV/atom): 541
Space group: No. 221
Formation energy (no corrections) (kJ per mole of atoms): 83.7
V (Å³ per atom): 28.4

a = 5.2163 Å, b = 5.2163 Å, c = 5.2163 Å
α = 90.00°, β = 90.00°, γ = 90.00°
Sites, in units of the cell vectors:
Ag (0.0000, 0.0000, 0.5000)
Ag (0.0000, 0.5000, 0.0000)
Ag (0.5000, 0.0000, 0.0000)
Sn (0.0000, 0.0000, 0.0000)
S (0.5000, 0.5000, 0.5000)

12.
An optimized crystal structure of TiCuSb2I. Source: the Alexandria database, functional PBE.

## Properties
ΔE to the lowest computed polymorph (meV/atom): 220
Space group: No. 123
Formation energy (no corrections) (kJ per mole of atoms): 70.7
V (Å³ per atom): 27.1

a = 4.9922 Å, b = 4.9922 Å, c = 5.4301 Å
α = 90.00°, β = 90.00°, γ = 90.00°
Sites, in units of the cell vectors:
Ti (0.0000, 0.0000, 0.0000)
Cu (0.5000, 0.5000, 0.5000)
Sb (0.0000, 0.5000, 0.5000)
Sb (0.5000, 0.0000, 0.5000)
I (0.5000, 0.5000, 0.0000)